1.
An optimized crystal structure of TaSe2. Source: Alexandria, functional GGA-PBE.

Results
V, Å³/cell: 143.1
DOS(E_F), states/eV per cell: 4.67
Total magnetic moment, Bohr magnetons per cell: 0.000
SG: Cmc2_1
Energy relative to the elements, uncorrected, eV per atom: -0.79

The structure in POSCAR format:
```
TaSe2
1.0
3.486 0.000 0.000
-1.743 3.019 0.000
0.000 0.000 13.597
Ta Se
2 4
Direct
0.576 0.151 0.004 Ta
0.924 0.849 0.504 Ta
0.909 0.818 0.126 Se
0.258 0.516 0.381 Se
0.242 0.484 0.881 Se
0.591 0.182 0.626 Se
```

---

2.
An optimized crystal structure of Ta4Se. Source: Alexandria, functional GGA-PBE.

Results
V, Å³/cell: 103.5
DOS(E_F), states/eV per cell: 5.09
Offset from the most stable computed form, meV/atom: 182
Total magnetic moment, Bohr magnetons per cell: 0.000
SG: Im-3m
Energy relative to the elements, uncorrected, eV per atom: 0.88

The structure in POSCAR format:
```
Ta4Se
1.0
-0.279 -5.026 0.950
-4.501 1.649 -1.805
3.659 0.880 -3.475
Ta Se
4 1
Direct
0.500 0.000 0.000 Ta
0.500 0.500 0.500 Ta
0.000 0.500 0.000 Ta
0.000 0.000 0.500 Ta
0.000 0.000 0.000 Se
```

---

3.
An optimized crystal structure of TaSe2. Source: Alexandria, functional GGA-PBE.

Results
V, Å³/cell: 143.7
DOS(E_F), states/eV per cell: 6.04
Total magnetic moment, Bohr magnetons per cell: 0.001
SG: P6_3/mmc
Energy relative to the elements, uncorrected, eV per atom: -0.82

The structure in POSCAR format:
```
TaSe2
1.0
3.473 0.000 0.000
-1.737 3.008 0.000
0.000 0.000 13.752
Se Ta
4 2
Direct
0.333 0.667 0.128 Se
0.667 0.333 0.628 Se
0.667 0.333 0.872 Se
0.333 0.667 0.372 Se
0.000 0.000 0.250 Ta
0.000 0.000 0.750 Ta
```